1.
First-principles (PBE) data for crystalline Tb12Co6Pd at its relaxed geometry, as listed in Alexandria.

Cell and atoms, written as POSCAR:
```
Tb12Co6Pd
1.0
7.848 0.000 -2.775
-3.924 6.797 -2.775
0.000 0.000 8.324
Tb Co Pd
12 6 1
direct
0.806 0.699 0.506
0.893 0.194 0.699
0.699 0.893 0.194
0.194 0.301 0.494
0.301 0.494 0.194
0.107 0.806 0.301
0.194 0.699 0.893
0.301 0.107 0.806
0.494 0.194 0.301
0.506 0.806 0.699
0.699 0.506 0.806
0.806 0.301 0.107
0.500 0.886 0.386
0.500 0.114 0.614
0.386 0.500 0.886
0.114 0.614 0.500
0.614 0.500 0.114
0.886 0.386 0.500
0.000 0.000 0.000
```

Computed properties:
E_form   -238.4 meV per atom
Total energy   -5.68 eV/atom

---

2.
First-principles (PBE) data for crystalline Tb4CoPd at its relaxed geometry, as listed in Alexandria.

Cell and atoms, written as POSCAR:
```
Tb4CoPd
1.0
6.299 0.000 0.000
0.000 6.853 0.000
0.000 0.000 6.853
Tb Co Pd
8 2 2
direct
0.000 0.672 0.808
0.500 0.328 0.808
0.000 0.328 0.192
0.500 0.192 0.328
0.000 0.192 0.672
0.500 0.672 0.192
0.000 0.808 0.328
0.500 0.808 0.672
0.250 0.500 0.500
0.750 0.500 0.500
0.750 0.000 0.000
0.250 0.000 0.000
```

Computed properties:
E_form   -334.3 meV per atom
E above lowest polymorph   0.0 meV/atom
Total energy   -5.47 eV/atom

---

3.
First-principles (PBE) data for crystalline Tb4Co3Pd at its relaxed geometry, as listed in Alexandria.

Cell and atoms, written as POSCAR:
```
Tb4Co3Pd
1.0
-3.233 0.624 -2.214
-1.234 -3.695 0.761
-5.184 3.494 8.557
Pd Tb Co
1 4 3
direct
0.500 0.500 0.076
0.500 0.000 0.645
0.500 0.500 0.366
0.000 0.000 0.145
0.000 0.500 0.852
0.000 0.500 0.556
0.500 0.000 0.917
0.000 0.000 0.444
```

Computed properties:
E_form   -330.7 meV per atom
Total energy   -5.96 eV/atom

---

4.
First-principles (PBE) data for crystalline Tb12CoPd6 at its relaxed geometry, as listed in Alexandria.

Cell and atoms, written as POSCAR:
```
Tb12CoPd6
1.0
-6.512 1.783 -4.612
-2.881 -6.759 3.587
-1.366 5.273 6.098
Co Pd Tb
1 6 12
direct
0.000 0.000 0.000
0.690 0.871 0.377
0.377 0.690 0.871
0.871 0.377 0.690
0.129 0.623 0.310
0.623 0.310 0.129
0.310 0.129 0.623
0.183 0.417 0.576
0.925 0.035 0.685
0.417 0.576 0.183
0.075 0.965 0.315
0.817 0.583 0.424
0.685 0.925 0.035
0.965 0.315 0.075
0.583 0.424 0.817
0.035 0.685 0.925
0.424 0.817 0.583
0.315 0.075 0.965
0.576 0.183 0.417
```

Computed properties:
E_form   -490.2 meV per atom
Total energy   -5.43 eV/atom

---

5.
First-principles (PBE) data for crystalline Tb3CoPd at its relaxed geometry, as listed in Alexandria.

Cell and atoms, written as POSCAR:
```
Tb3CoPd
1.0
3.801 0.000 0.000
-1.900 7.776 0.293
0.000 -0.001 8.032
Tb Pd Co
6 2 2
direct
0.260 0.553 0.017
0.418 0.870 0.662
0.784 0.601 0.405
0.626 0.284 0.759
0.080 0.193 0.396
0.964 0.961 0.025
0.616 0.265 0.133
0.428 0.890 0.289
0.237 0.508 0.649
0.807 0.647 0.773
```

Computed properties:
E_form   -422.2 meV per atom
E above lowest polymorph   0.0 meV/atom
Total energy   -5.66 eV/atom

---

6.
First-principles (PBE) data for crystalline Tb3CoPd at its relaxed geometry, as listed in Alexandria.

Cell and atoms, written as POSCAR:
```
Tb3CoPd
1.0
-0.727 -2.657 5.237
-1.590 -5.699 -0.079
6.417 -4.879 1.750
Tb Pd Co
6 2 2
direct
0.685 0.685 0.148
0.989 0.989 0.221
0.702 0.702 0.660
0.315 0.315 0.852
0.298 0.298 0.340
0.011 0.011 0.779
0.273 0.727 0.500
0.727 0.273 0.500
0.315 0.685 0.000
0.685 0.315 0.000
```

Computed properties:
E_form   -413.2 meV per atom
E above lowest polymorph   9.0 meV/atom
Total energy   -5.65 eV/atom

---

7.
First-principles (PBE) data for crystalline Tb4CoPd at its relaxed geometry, as listed in Alexandria.

Cell and atoms, written as POSCAR:
```
Tb4CoPd
1.0
7.006 -0.075 0.000
-1.083 6.598 0.000
-2.961 -3.261 6.991
Tb Pd Co
8 2 2
direct
0.723 0.472 0.432
0.628 0.784 0.071
0.372 0.216 0.929
0.277 0.528 0.568
0.210 0.960 0.432
0.057 0.713 0.929
0.943 0.287 0.071
0.790 0.040 0.568
0.370 0.620 0.240
0.630 0.380 0.760
0.914 0.164 0.327
0.086 0.836 0.673
```

Computed properties:
E_form   -305.5 meV per atom
E above lowest polymorph   28.8 meV/atom
Total energy   -5.44 eV/atom

---

8.
First-principles (PBE) data for crystalline TbZrCoPd at its relaxed geometry, as listed in Alexandria.

Cell and atoms, written as POSCAR:
```
TbZrCoPd
1.0
-0.318 3.905 -2.697
-4.266 1.628 -1.334
-1.690 4.041 1.855
Zr Co Tb Pd
1 1 1 1
direct
0.750 0.750 0.750
0.500 0.500 0.500
0.250 0.250 0.250
0.000 0.000 0.000
```

Computed properties:
E_form   -385.4 meV per atom
Total energy   -6.75 eV/atom

---

9.
First-principles (PBE) data for crystalline Co2Tc2Pd at its relaxed geometry, as listed in Alexandria.

Cell and atoms, written as POSCAR:
```
Co2Tc2Pd
1.0
-0.207 -1.368 3.530
-0.494 -3.495 -1.383
4.582 -3.135 1.089
Tc Co Pd
2 2 1
direct
0.750 0.250 0.500
0.250 0.750 0.500
0.605 0.605 0.790
0.395 0.395 0.210
0.000 0.000 0.000
```

Computed properties:
E_form   407.2 meV per atom
E above lowest polymorph   287.3 meV/atom
Total energy   -7.62 eV/atom

---

10.
First-principles (PBE) data for crystalline CoTcPd3 at its relaxed geometry, as listed in Alexandria.

Cell and atoms, written as POSCAR:
```
CoTcPd3
1.0
4.718 0.000 0.000
0.000 4.718 0.000
0.000 0.000 4.718
Co Pd Tc
1 3 1
direct
0.500 0.500 0.500
0.500 0.000 0.000
0.000 0.000 0.500
0.000 0.500 0.000
0.000 0.000 0.000
```

Computed properties:
E_form   1676.3 meV per atom
E above lowest polymorph   525.9 meV/atom
Total energy   -4.93 eV/atom

---

11.
First-principles (PBE) data for crystalline Co2TcPd2 at its relaxed geometry, as listed in Alexandria.

Cell and atoms, written as POSCAR:
```
Co2TcPd2
1.0
6.079 0.000 0.000
0.000 6.079 0.000
0.000 0.000 3.759
Pd Co Tc
4 4 2
direct
0.669 0.831 0.500
0.831 0.331 0.500
0.169 0.669 0.500
0.331 0.169 0.500
0.631 0.131 0.000
0.369 0.869 0.000
0.131 0.369 0.000
0.869 0.631 0.000
0.000 0.000 0.000
0.500 0.500 0.000
```

Computed properties:
E_form   324.7 meV per atom
Total energy   -6.67 eV/atom

---

12.
First-principles (PBE) data for crystalline Co2Tc2Pd at its relaxed geometry, as listed in Alexandria.

Cell and atoms, written as POSCAR:
```
Co2Tc2Pd
1.0
-2.557 6.069 -2.959
-1.827 -3.668 -5.945
-2.344 -0.489 1.022
Pd Co Tc
2 4 4
direct
0.000 0.000 0.000
0.500 0.500 0.000
0.333 0.167 0.500
0.833 0.333 0.500
0.167 0.667 0.500
0.667 0.833 0.500
0.126 0.374 0.000
0.626 0.126 0.000
0.874 0.626 0.000
0.374 0.874 0.000
```

Computed properties:
E_form   216.1 meV per atom
E above lowest polymorph   96.2 meV/atom
Total energy   -7.81 eV/atom

---

13.
First-principles (PBE) data for crystalline CoTc3Pd at its relaxed geometry, as listed in Alexandria.

Cell and atoms, written as POSCAR:
```
CoTc3Pd
1.0
-0.581 -1.819 -3.924
-0.873 -3.828 1.904
-4.236 1.039 0.146
Tc Pd Co
3 1 1
direct
0.000 0.000 0.500
0.000 0.500 0.000
0.500 0.000 0.000
0.500 0.500 0.500
0.000 0.000 0.000
```

Computed properties:
E_form   1279.4 meV per atom
E above lowest polymorph   0.0 meV/atom
Total energy   -7.40 eV/atom

---

14.
First-principles (PBE) data for crystalline Co2TcPd at its relaxed geometry, as listed in Alexandria.

Cell and atoms, written as POSCAR:
```
Co2TcPd
1.0
0.000 2.955 2.955
2.955 0.000 2.955
2.955 2.955 0.000
Co Pd Tc
2 1 1
direct
0.250 0.250 0.250
0.750 0.750 0.750
0.500 0.500 0.500
0.000 0.000 0.000
```

Computed properties:
E_form   244.6 meV per atom
E above lowest polymorph   101.9 meV/atom
Total energy   -7.20 eV/atom

---

15.
First-principles (PBE) data for crystalline Co2TcPd at its relaxed geometry, as listed in Alexandria.

Cell and atoms, written as POSCAR:
```
Co2TcPd
1.0
-4.830 -1.289 4.152
-2.454 -4.315 -4.194
-2.180 -4.711 1.087
Co Pd Tc
4 2 2
direct
0.596 0.125 0.250
0.875 0.846 0.750
0.154 0.625 0.250
0.375 0.404 0.750
0.750 0.250 0.500
0.000 0.000 0.000
0.250 0.750 0.500
0.500 0.500 0.000
```

Computed properties:
E_form   580.4 meV per atom
E above lowest polymorph   437.7 meV/atom
Total energy   -6.86 eV/atom

---

16.
First-principles (PBE) data for crystalline Co4TcPd at its relaxed geometry, as listed in Alexandria.

Cell and atoms, written as POSCAR:
```
Co4TcPd
1.0
-1.681 3.858 -2.107
-4.574 0.293 -1.071
-2.789 2.954 2.377
Co Pd Tc
4 1 1
direct
0.125 0.625 0.625
0.625 0.125 0.625
0.625 0.625 0.125
0.625 0.625 0.625
0.000 0.000 0.000
0.250 0.250 0.250
```

Computed properties:
E_form   158.7 meV per atom
Total energy   -7.17 eV/atom

---

17.
First-principles (PBE) data for crystalline CoTcPd2 at its relaxed geometry, as listed in Alexandria.

Cell and atoms, written as POSCAR:
```
CoTcPd2
1.0
0.223 -3.786 2.046
-3.089 -1.130 2.784
-2.756 -3.157 -1.004
Pd Co Tc
2 1 1
direct
0.750 0.750 0.750
0.250 0.250 0.250
0.000 0.000 0.000
0.500 0.500 0.500
```

Computed properties:
E_form   433.2 meV per atom
E above lowest polymorph   0.0 meV/atom
Total energy   -6.53 eV/atom

---

18.
First-principles (PBE) data for crystalline Co2TcPd at its relaxed geometry, as listed in Alexandria.

Cell and atoms, written as POSCAR:
```
Co2TcPd
1.0
-1.100 -0.900 2.254
-2.409 -1.137 -0.055
2.447 -8.282 -0.539
Pd Co Tc
1 2 1
direct
0.500 0.500 0.500
0.252 0.252 0.244
0.748 0.748 0.756
0.000 0.000 0.000
```

Computed properties:
E_form   142.7 meV per atom
E above lowest polymorph   0.0 meV/atom
Total energy   -7.30 eV/atom

---

19.
First-principles (PBE) data for crystalline CoTcPd2 at its relaxed geometry, as listed in Alexandria.

Cell and atoms, written as POSCAR:
```
CoTcPd2
1.0
6.913 0.000 0.000
0.000 6.913 0.000
3.457 3.457 2.605
Co Pd Tc
2 4 2
direct
0.500 0.500 0.000
0.250 0.750 0.500
0.143 0.625 0.250
0.875 0.857 0.750
0.375 0.393 0.750
0.607 0.125 0.250
0.000 0.000 0.000
0.750 0.250 0.500
```

Computed properties:
E_form   710.1 meV per atom
E above lowest polymorph   276.9 meV/atom
Total energy   -6.25 eV/atom

---

20.
First-principles (PBE) data for crystalline CoTcPd3 at its relaxed geometry, as listed in Alexandria.

Cell and atoms, written as POSCAR:
```
CoTcPd3
1.0
-3.342 0.366 -3.062
0.280 -4.460 -0.838
-3.071 -0.805 3.256
Pd Co Tc
3 1 1
direct
0.500 0.000 0.000
0.000 0.000 0.500
0.000 0.500 0.000
0.000 0.000 0.000
0.500 0.500 0.500
```

Computed properties:
E_form   1150.3 meV per atom
E above lowest polymorph   0.0 meV/atom
Total energy   -5.46 eV/atom